10
Lattice="-0.4842 -1.4331 -6.4979 -5.6859 -3.2951 1.1504 -2.1667 3.5239 -0.6157" Properties=species:S:1:pos:R:3 comment="NbIn2Ru2, relaxed, DFT GGA-PBE" sg="P4/mbm (127)" volume_a3_per_atom=18.62 ef_ev_per_atom=0.084 magnetic_moment_mub_per_cell=0.0 e_tot_ev_per_atom=-6.7360 pbc="T T T"
Ru -5.0892 -3.3688 -1.3715
Ru -4.0343 -3.3338 -4.8829
Ru -1.0809 -1.3594 -3.9760
Ru -2.1358 -1.3944 -0.4646
Nb 0.0000 0.0000 0.0000
Nb -3.0851 -2.3641 -2.6738
In -4.9689 -0.6846 -0.6362
In -6.1324 -1.9351 -3.6988
In -3.3679 -0.5198 -5.3270
In -2.2044 0.7307 -2.2645